VASP calculation (PBE) on a geometry-optimized NdSmNiBr structure.

Computed properties:
Formation energy without anion corrections, eV per atom: -0.794
Space group: R3m (160)

```
12
Lattice="4.039 0.000 0.000 -2.019 3.498 0.000 0.000 0.000 23.286" Properties=species:S:1:pos:R:3 pbc="T T T"
Nd 0.000 0.000 0.000
Nd 0.000 2.332 15.524
Nd 2.019 1.166 7.762
Sm 0.000 0.000 18.501
Sm 0.000 2.332 10.739
Sm 2.019 1.166 2.977
Ni 0.000 0.000 9.272
Ni 0.000 2.332 1.509
Ni 2.019 1.166 17.034
Br 0.000 0.000 5.310
Br 0.000 2.332 20.834
Br 2.019 1.166 13.072
```

VASP calculation (PBE) on a geometry-optimized ErCd2Au3 structure.

Computed properties:
Space group: P-3m1 (164)
E_form, eV per atom: -0.50

```
12
Lattice="4.838 0.000 0.000 -2.419 4.189 0.000 0.000 0.000 12.178" Properties=species:S:1:pos:R:3 pbc="T T T"
Er 0.000 2.793 2.063
Er 2.419 1.396 10.115
Cd 0.000 0.000 0.000
Cd 0.000 0.000 6.089
Cd 0.000 2.793 8.108
Cd 2.419 1.396 4.070
Au 0.000 0.000 3.166
Au 0.000 0.000 9.012
Au 0.000 2.793 5.065
Au 0.000 2.793 11.227
Au 2.419 1.396 0.951
Au 2.419 1.396 7.113
```

VASP calculation (PBE) on a geometry-optimized Li2BeTlH structure.

Computed properties:
E_tot, eV/atom: -1.886
Space group: P4/mmm (123)

```
5
Lattice="5.301 0.000 0.000 0.000 5.301 0.000 0.000 0.000 3.636" Properties=species:S:1:pos:R:3 pbc="T T T"
Li 0.000 2.650 0.000
Li 2.650 0.000 0.000
Be 0.000 0.000 1.818
Tl 2.650 2.650 0.000
H 2.650 2.650 1.818
```

VASP calculation (PBE) on a geometry-optimized Sm6CuTc2Cl3 structure.

Computed properties:
Formation energy without anion corrections, eV per atom: -0.706
Space group: C2/m (12)

```
12
Lattice="3.501 -5.785 0.000 3.501 5.785 0.000 -2.394 0.000 7.743" Properties=species:S:1:pos:R:3 pbc="T T T"
Sm 0.089 2.018 5.404
Sm 1.065 0.000 2.016
Sm 0.089 -2.018 5.404
Sm 4.518 2.018 2.339
Sm 3.543 0.000 5.727
Sm 4.518 -2.018 2.339
Cu -1.197 0.000 3.871
Tc 2.304 1.571 3.871
Tc 2.304 -1.571 3.871
Cl 3.501 3.710 0.000
Cl 3.501 0.000 0.000
Cl 3.501 -3.710 0.000
```

Number 1: spin magnetization 0.000 Bohr magnetons per cell. Number 2: spin magnetization 0.000 Bohr magnetons per cell. Number 3: spin magnetization 0.000 Bohr magnetons per cell. Number 4: spin magnetization 0.000 Bohr magnetons per cell.